PmB3 at its PBEsol-relaxed geometry. Source: the Alexandria database, functional meta-GGA SCAN. Values from VASP.

The structure in Quantum ESPRESSO input format:
```
&SYSTEM
  ibrav = 0, nat = 8, ntyp = 2
/
ATOMIC_SPECIES
Pm 145.00 Pm.upf
B 10.81 B.upf
ATOMIC_POSITIONS crystal
Pm 0.333 0.667 0.250
Pm 0.667 0.333 0.750
B 0.108 0.216 0.750
B 0.108 0.892 0.750
B 0.216 0.108 0.250
B 0.784 0.892 0.750
B 0.892 0.108 0.250
B 0.892 0.784 0.250
CELL_PARAMETERS angstrom
5.542 0.000 0.000
-2.771 4.800 0.000
0.000 0.000 3.402
```

Results
The value obtained for the formation energy is -113 meV/atom. Its mass density is 6.51 g/cm3. The space group is P6_3/mmc, No. 194.